Here is a relaxed PuAl6Zn12 crystal from the Alexandria database. Energies are from PBE.

The calculation puts the mass density at 5.864 g/cm3. For the calculated formation energy, the calculation gives 78 meV/atom. The calculation puts the total DFT energy (no corrections) at -2.662 eV per atom.

The structure belongs to space group R-3m (No. 166, hexagonal axes); the cell edges are 11.2702, 11.2702 and 9.1971 Å and the angles 90.00°, 90.00° and 120.00°. The inequivalent atoms are Pu at (0.0000, 0.0000, 0.0000), Al at (0.0614, 0.5307, 0.2280), Zn at (0.0000, 0.3928, 0.5000) and Zn at (0.0812, 0.1624, 0.2880).